(1)
# Ta2NbHAu, relaxed, DFT PBE
data_Ta2NbHAu
_symmetry_space_group_name_H-M 'P 4/m m m'
_symmetry_Int_Tables_number 123
_symmetry_space_group_name_Hall '-P 4 2'
_cell_length_a 4.089
_cell_length_b 4.089
_cell_length_c 4.440
_cell_angle_alpha 90.00
_cell_angle_beta 90.00
_cell_angle_gamma 90.00
loop_
_atom_site_label
_atom_site_type_symbol
_atom_site_fract_x
_atom_site_fract_y
_atom_site_fract_z
Ta1 Ta 0.000 0.500 0.000
Nb1 Nb 0.000 0.000 0.500
H1 H 0.500 0.500 0.000
Au1 Au 0.500 0.500 0.500
# Energy relative to the lowest polymorph listed for this composition, meV/atom: 106.2
# Fermi-level density of states, states/eV per cell: 5.55
# E, eV/atom: -8.046

(2)
# ZnRh4Cl, relaxed, DFT PBE
data_ZnRh4Cl
_symmetry_space_group_name_H-M 'F -4 3 m'
_symmetry_Int_Tables_number 216
_symmetry_space_group_name_Hall 'F -4 2 3'
_cell_length_a 7.358
_cell_length_b 7.358
_cell_length_c 7.358
_cell_angle_alpha 90.00
_cell_angle_beta 90.00
_cell_angle_gamma 90.00
loop_
_atom_site_label
_atom_site_type_symbol
_atom_site_fract_x
_atom_site_fract_y
_atom_site_fract_z
Zn1 Zn 0.000 0.000 0.000
Rh1 Rh 0.125 0.125 0.375
Cl1 Cl 0.250 0.250 0.750
# Fermi-level density of states, states/eV per cell: 46.69
# E, eV/atom: -4.793
# ΔE_f (raw), meV per atom: 628

(3)
# Hf2AsS, relaxed, DFT PBE
data_Hf2AsS
_symmetry_space_group_name_H-M 'R 3 m'
_symmetry_Int_Tables_number 160
_symmetry_space_group_name_Hall 'R 3 -2"'
_cell_length_a 3.5423
_cell_length_b 3.5423
_cell_length_c 20.5857
_cell_angle_alpha 90.00
_cell_angle_beta 90.00
_cell_angle_gamma 120.00
loop_
_atom_site_label
_atom_site_type_symbol
_atom_site_fract_x
_atom_site_fract_y
_atom_site_fract_z
Hf1 Hf 0.0000 0.0000 0.0000
Hf2 Hf 0.0000 0.0000 0.1635
As1 As 0.0000 0.0000 0.5817
S1 S 0.0000 0.0000 0.4144
# Energy relative to the lowest polymorph listed for this composition, meV/atom: 0.0
# Fermi-level density of states, states/eV per cell: 8.59
# E, eV/atom: -8.250
# ΔE_f (raw), meV per atom: -1079

(4)
# Tc2Sb, relaxed, DFT PBE
data_Tc2Sb
_symmetry_space_group_name_H-M 'I 41/a m d'
_symmetry_Int_Tables_number 141
_cell_length_a 3.762
_cell_length_b 3.762
_cell_length_c 16.119
_cell_angle_alpha 90.00
_cell_angle_beta 90.00
_cell_angle_gamma 90.00
loop_
_symmetry_equiv_pos_as_xyz
'x,y,z'
'-x,-y,-z'
'-y+1/4,x+3/4,z+1/4'
'y+1/4,-x+3/4,-z+1/4'
'-x+1/2,-y,z+1/2'
'x+1/2,y,-z+1/2'
'y+1/4,-x+1/4,z+3/4'
'-y+1/4,x+1/4,-z+3/4'
'x,-y,-z'
'-x,y,z'
'-y+1/4,-x+1/4,-z+3/4'
'y+1/4,x+1/4,z+3/4'
'-x+1/2,y,-z+1/2'
'x+1/2,-y,z+1/2'
'y+1/4,x+3/4,-z+1/4'
'-y+1/4,-x+3/4,z+1/4'
'x+1/2,y+1/2,z+1/2'
'-x+1/2,-y+1/2,-z+1/2'
'-y+3/4,x+1/4,z+3/4'
'y+3/4,-x+1/4,-z+3/4'
'-x,-y+1/2,z'
'x,y+1/2,-z'
'y+3/4,-x+3/4,z+1/4'
'-y+3/4,x+3/4,-z+1/4'
'x+1/2,-y+1/2,-z+1/2'
'-x+1/2,y+1/2,z+1/2'
'-y+3/4,-x+3/4,-z+1/4'
'y+3/4,x+3/4,z+1/4'
'-x,y+1/2,-z'
'x,-y+1/2,z'
'y+3/4,x+1/4,-z+3/4'
'-y+3/4,-x+1/4,z+3/4'
loop_
_atom_site_label
_atom_site_type_symbol
_atom_site_fract_x
_atom_site_fract_y
_atom_site_fract_z
Tc1 Tc 0.000 0.250 0.295
Sb1 Sb 0.000 0.250 0.875
# Energy relative to the lowest polymorph listed for this composition, meV/atom: 485.6
# Fermi-level density of states, states/eV per cell: 9.20
# E, eV/atom: -7.693
# ΔE_f (raw), meV per atom: 591

(5)
# GdHfGe, relaxed, DFT PBE
data_GdHfGe
_symmetry_space_group_name_H-M 'P 3 m 1'
_symmetry_Int_Tables_number 156
_cell_length_a 4.6230
_cell_length_b 4.6230
_cell_length_c 3.9047
_cell_angle_alpha 90.00
_cell_angle_beta 90.00
_cell_angle_gamma 120.00
loop_
_symmetry_equiv_pos_as_xyz
'x,y,z'
'-y,x-y,z'
'-x+y,-x,z'
'-y,-x,z'
'-x+y,y,z'
'x,x-y,z'
loop_
_atom_site_label
_atom_site_type_symbol
_atom_site_fract_x
_atom_site_fract_y
_atom_site_fract_z
Gd1 Gd 0.0000 0.0000 0.0000
Hf1 Hf 0.3333 0.6667 0.5079
Ge1 Ge 0.6667 0.3333 0.4260
# Formation enthalpy at 0 K, meV/atom: -209
# Fermi-level density of states, states/eV per cell: 3.80
# E, eV/atom: -9.760

(6)
# KTl5Pb4, relaxed, DFT PBE
data_KTl5Pb4
_symmetry_space_group_name_H-M 'P 4/m m m'
_symmetry_Int_Tables_number 123
_symmetry_space_group_name_Hall '-P 4 2'
_cell_length_a 3.438
_cell_length_b 3.438
_cell_length_c 28.561
_cell_angle_alpha 90.00
_cell_angle_beta 90.00
_cell_angle_gamma 90.00
loop_
_atom_site_label
_atom_site_type_symbol
_atom_site_fract_x
_atom_site_fract_y
_atom_site_fract_z
K1 K 0.000 0.000 0.000
Tl1 Tl 0.500 0.500 0.099
Tl2 Tl 0.500 0.500 0.386
Tl3 Tl 0.500 0.500 0.500
Pb1 Pb 0.000 0.000 0.182
Pb2 Pb 0.000 0.000 0.298
# Formation enthalpy at 0 K, meV/atom: 34
# Fermi-level density of states, states/eV per cell: 5.11
# E, eV/atom: -2.742

(7)
# Ba2YSi, relaxed, DFT PBE
data_Ba2YSi
_symmetry_space_group_name_H-M 'F -4 3 m'
_symmetry_Int_Tables_number 216
_symmetry_space_group_name_Hall 'F -4 2 3'
_cell_length_a 8.068
_cell_length_b 8.068
_cell_length_c 8.068
_cell_angle_alpha 90.00
_cell_angle_beta 90.00
_cell_angle_gamma 90.00
loop_
_atom_site_label
_atom_site_type_symbol
_atom_site_fract_x
_atom_site_fract_y
_atom_site_fract_z
Ba1 Ba 0.000 0.000 0.000
Ba2 Ba 0.250 0.250 0.250
Y1 Y 0.250 0.250 0.750
Si1 Si 0.000 0.000 0.500
# Fermi-level density of states, states/eV per cell: 18.01
# E, eV/atom: -3.692
# ΔE_f (raw), meV per atom: 241

(8)
# AlAu2Se, relaxed, DFT PBE
data_AlAu2Se
_symmetry_space_group_name_H-M 'I m m 2'
_symmetry_Int_Tables_number 44
_cell_length_a 3.422
_cell_length_b 4.243
_cell_length_c 11.167
_cell_angle_alpha 90.00
_cell_angle_beta 90.00
_cell_angle_gamma 90.00
loop_
_symmetry_equiv_pos_as_xyz
'x,y,z'
'-x,-y,z'
'-x,y,z'
'x,-y,z'
'x+1/2,y+1/2,z+1/2'
'-x+1/2,-y+1/2,z+1/2'
'-x+1/2,y+1/2,z+1/2'
'x+1/2,-y+1/2,z+1/2'
loop_
_atom_site_label
_atom_site_type_symbol
_atom_site_fract_x
_atom_site_fract_y
_atom_site_fract_z
Al1 Al 0.000 0.000 0.000
Au1 Au 0.000 0.000 0.518
Au2 Au 0.000 0.500 0.685
Se1 Se 0.000 0.500 0.334
# Fermi-level density of states, states/eV per cell: 2.59
# E, eV/atom: -3.548
# ΔE_f (raw), meV per atom: -102

Question: Which value of E does entry 4 give?
Answer: -7.693 eV/atom

Question: What is the Fermi-level density of states in the third record?
Answer: 8.59 states/eV per cell

Question: Fermi-level density of states of number 1 (Ta2NbHAu)?
Answer: 5.55 states/eV per cell